Record 1
{
  "formula": "SmThB2O8",
  "functional": "PBE",
  "state": "optimized geometry",
  "magnetic_moment_mub_per_fu": 3.03,
  "total_energy_ev_per_atom": -7.89,
  "spacegroup": "I-4",
  "raw_formation_energy_ev_per_atom": -2.46,
  "dos_at_fermi_per_ev_fu": 4.25,
  "lattice_angstrom": [[-3.068, 3.421, -1.216], [-3.451, -2.254, 2.366], [4.637, 2.365, 4.243]],
  "species": ["Sm", "Th", "B", "B", "O", "O", "O", "O", "O", "O", "O", "O"],
  "fractional_positions": [[0.750, 0.250, 0.500], [0.000, 0.000, 0.000], [0.500, 0.500, 0.000], [0.250, 0.750, 0.500], [0.665, 0.813, 0.136], [0.471, 0.323, 0.136], [0.561, 0.722, 0.638], [0.077, 0.917, 0.638], [0.083, 0.439, 0.362], [0.278, 0.923, 0.362], [0.187, 0.529, 0.864], [0.677, 0.335, 0.864]]
}

***

Record 2
{
  "formula": "Sb2TeRhBr",
  "functional": "PBE",
  "state": "optimized geometry",
  "relative_energy_ev_per_atom": 0.000,
  "magnetic_moment_mub_per_fu": 0.00,
  "total_energy_ev_per_atom": -3.82,
  "spacegroup": "P4/mmm",
  "raw_formation_energy_ev_per_atom": 0.26,
  "dos_at_fermi_per_ev_fu": 6.66,
  "lattice_angstrom": [[5.216, 0.000, 0.000], [0.000, 5.216, 0.000], [0.000, 0.000, 5.271]],
  "species": ["Sb", "Sb", "Te", "Rh", "Br"],
  "fractional_positions": [[0.000, 0.500, 0.000], [0.500, 0.000, 0.000], [0.000, 0.000, 0.500], [0.000, 0.000, 0.000], [0.500, 0.500, 0.500]]
}

***

Record 3
{
  "formula": "La2AlPt6",
  "functional": "PBE",
  "state": "optimized geometry",
  "magnetic_moment_mub_per_fu": 0.00,
  "formation_enthalpy_0k_mev_per_atom": -1049,
  "total_energy_ev_per_atom": -6.59,
  "spacegroup": "P-3m1",
  "dos_at_fermi_per_ev_fu": 2.51,
  "lattice_angstrom": [[-5.539, 2.440, 0.387], [-2.266, -4.787, -2.236], [-1.648, -4.287, 3.458]],
  "species": ["La", "La", "Al", "Pt", "Pt", "Pt", "Pt", "Pt", "Pt"],
  "fractional_positions": [[0.835, 0.667, 0.667], [0.165, 0.333, 0.333], [0.000, 0.000, 0.000], [0.308, 0.342, 0.829], [0.308, 0.829, 0.829], [0.308, 0.829, 0.342], [0.692, 0.658, 0.171], [0.692, 0.171, 0.171], [0.692, 0.171, 0.658]]
}

***

Record 4
{
  "formula": "LaGaPt3",
  "functional": "PBE",
  "state": "optimized geometry",
  "relative_energy_ev_per_atom": 0.328,
  "magnetic_moment_mub_per_fu": 0.00,
  "formation_enthalpy_0k_mev_per_atom": -534,
  "total_energy_ev_per_atom": -5.75,
  "spacegroup": "Pm-3m",
  "dos_at_fermi_per_ev_fu": 2.86,
  "lattice_angstrom": [[-3.943, 2.562, 0.708], [-0.015, -1.288, 4.578], [2.658, 3.793, 1.076]],
  "species": ["Ga", "Pt", "Pt", "Pt", "La"],
  "fractional_positions": [[0.000, 0.000, 0.000], [0.000, 0.500, 0.000], [0.000, 0.000, 0.500], [0.500, 0.000, 0.000], [0.500, 0.500, 0.500]]
}

***

Record 5
{
  "formula": "Zr2AlSn2",
  "functional": "PBE",
  "state": "optimized geometry",
  "relative_energy_ev_per_atom": 0.073,
  "magnetic_moment_mub_per_fu": 0.00,
  "formation_enthalpy_0k_mev_per_atom": -210,
  "total_energy_ev_per_atom": -5.98,
  "spacegroup": "P4/mbm",
  "dos_at_fermi_per_ev_fu": 5.23,
  "lattice_angstrom": [[7.370, 0.000, 0.000], [0.000, 7.370, 0.000], [0.000, 0.000, 4.102]],
  "species": ["Sn", "Sn", "Sn", "Sn", "Zr", "Zr", "Zr", "Zr", "Al", "Al"],
  "fractional_positions": [[0.355, 0.855, 0.000], [0.855, 0.645, 0.000], [0.645, 0.145, 0.000], [0.145, 0.355, 0.000], [0.158, 0.658, 0.500], [0.658, 0.842, 0.500], [0.842, 0.342, 0.500], [0.342, 0.158, 0.500], [0.000, 0.000, 0.000], [0.500, 0.500, 0.000]]
}

***

Record 6
{
  "formula": "KMgGaAs2",
  "functional": "PBE",
  "state": "optimized geometry",
  "magnetic_moment_mub_per_fu": 0.00,
  "formation_enthalpy_0k_mev_per_atom": 150,
  "total_energy_ev_per_atom": -2.85,
  "spacegroup": "P4/mmm",
  "dos_at_fermi_per_ev_fu": 2.09,
  "lattice_angstrom": [[-4.646, 2.309, 0.055], [-2.235, -4.514, 0.668], [0.353, 0.587, 5.143]],
  "species": ["Mg", "As", "As", "K", "Ga"],
  "fractional_positions": [[0.000, 0.500, 0.000], [0.000, 0.000, 0.500], [0.500, 0.000, 0.000], [0.500, 0.500, 0.500], [0.000, 0.000, 0.000]]
}

***

Record 7
{
  "formula": "Ca2GeClO4",
  "functional": "PBE",
  "state": "optimized geometry",
  "magnetic_moment_mub_per_fu": 1.04,
  "total_energy_ev_per_atom": -5.79,
  "spacegroup": "C2/m",
  "raw_formation_energy_ev_per_atom": -2.00,
  "dos_at_fermi_per_ev_fu": 2.06,
  "lattice_angstrom": [[-3.264, -0.009, -0.290], [-1.751, -4.074, 1.326], [-2.373, 2.043, 8.130]],
  "species": ["Ca", "Ca", "Ge", "Cl", "O", "O", "O", "O"],
  "fractional_positions": [[0.834, 0.572, 0.760], [0.166, 0.428, 0.240], [0.000, 0.000, 0.000], [0.500, 0.500, 0.500], [0.130, 0.943, 0.796], [0.381, 0.292, 0.946], [0.870, 0.057, 0.204], [0.619, 0.708, 0.054]]
}

***

Record 8
{
  "formula": "TlAg2O3",
  "functional": "PBE",
  "state": "optimized geometry",
  "magnetic_moment_mub_per_fu": 0.00,
  "total_energy_ev_per_atom": -4.09,
  "spacegroup": "P2_1/m",
  "raw_formation_energy_ev_per_atom": -0.26,
  "dos_at_fermi_per_ev_fu": 3.38,
  "lattice_angstrom": [[3.391, 0.000, 0.000], [0.000, 6.359, -0.348], [0.000, -2.190, 9.075]],
  "species": ["Tl", "Tl", "Ag", "Ag", "Ag", "Ag", "O", "O", "O", "O", "O", "O"],
  "fractional_positions": [[0.250, 0.820, 0.832], [0.750, 0.180, 0.168], [0.250, 0.307, 0.529], [0.750, 0.693, 0.471], [0.750, 0.315, 0.859], [0.250, 0.685, 0.141], [0.750, 0.879, 0.696], [0.250, 0.121, 0.304], [0.750, 0.556, 0.237], [0.250, 0.444, 0.763], [0.250, 0.190, 0.971], [0.750, 0.810, 0.029]]
}

***

Record 9
{
  "formula": "Ta2CrCl",
  "functional": "PBE",
  "state": "optimized geometry",
  "relative_energy_ev_per_atom": 0.982,
  "magnetic_moment_mub_per_fu": 2.57,
  "total_energy_ev_per_atom": -7.83,
  "spacegroup": "F-43m",
  "raw_formation_energy_ev_per_atom": 0.96,
  "dos_at_fermi_per_ev_fu": 4.72,
  "lattice_angstrom": [[-0.886, -3.139, -3.245], [-0.803, -4.372, 1.187], [-4.234, -1.754, -0.409]],
  "species": ["Cr", "Cl", "Ta", "Ta"],
  "fractional_positions": [[0.750, 0.750, 0.750], [0.500, 0.500, 0.500], [0.000, 0.000, 0.000], [0.250, 0.250, 0.250]]
}

***

Record 10
{
  "formula": "CsAcHgF6",
  "functional": "PBE",
  "state": "optimized geometry",
  "magnetic_moment_mub_per_fu": 0.00,
  "total_energy_ev_per_atom": -4.72,
  "spacegroup": "Imma",
  "raw_formation_energy_ev_per_atom": -2.89,
  "dos_at_fermi_per_ev_fu": 0.00,
  "lattice_angstrom": [[-4.622, 4.137, 6.633], [-7.201, -1.085, -4.342], [5.031, -7.073, 1.701]],
  "species": ["Cs", "Cs", "Ac", "Ac", "Hg", "Hg", "F", "F", "F", "F", "F", "F", "F", "F", "F", "F", "F", "F"],
  "fractional_positions": [[0.780, 0.530, 0.560], [0.220, 0.470, 0.440], [0.500, 0.000, 0.500], [0.000, 0.000, 0.500], [0.500, 0.500, 0.000], [0.500, 0.000, 0.000], [0.446, 0.696, 0.892], [0.823, 0.073, 0.646], [0.816, 0.110, 0.282], [0.466, 0.671, 0.282], [0.466, 0.110, 0.282], [0.816, 0.671, 0.282], [0.554, 0.304, 0.108], [0.177, 0.927, 0.354], [0.184, 0.890, 0.718], [0.534, 0.329, 0.718], [0.534, 0.890, 0.718], [0.184, 0.329, 0.718]]
}

***

Record 11
{
  "formula": "NaGeSe",
  "functional": "PBE",
  "state": "optimized geometry",
  "relative_energy_ev_per_atom": 0.012,
  "magnetic_moment_mub_per_fu": 0.00,
  "total_energy_ev_per_atom": -3.34,
  "spacegroup": "Fddd",
  "raw_formation_energy_ev_per_atom": -0.20,
  "dos_at_fermi_per_ev_fu": 1.57,
  "lattice_angstrom": [[6.579, 0.850, 0.000], [0.053, 6.633, 0.000], [-3.316, -3.742, 7.362]],
  "species": ["Na", "Na", "Na", "Na", "Ge", "Ge", "Ge", "Ge", "Se", "Se", "Se", "Se"],
  "fractional_positions": [[0.132, 0.132, 0.265], [0.868, 0.868, 0.735], [0.118, 0.618, 0.235], [0.382, 0.882, 0.765], [0.625, 0.875, 0.250], [0.625, 0.375, 0.750], [0.625, 0.375, 0.250], [0.125, 0.375, 0.750], [0.459, 0.959, 0.500], [0.209, 0.209, 0.000], [0.041, 0.541, 0.500], [0.791, 0.791, 0.000]]
}

***

Record 12
{
  "formula": "CuAgSbCl6",
  "functional": "PBE",
  "state": "optimized geometry",
  "magnetic_moment_mub_per_fu": 0.00,
  "total_energy_ev_per_atom": -3.05,
  "spacegroup": "P4_2nm",
  "raw_formation_energy_ev_per_atom": -0.59,
  "dos_at_fermi_per_ev_fu": 5.97,
  "lattice_angstrom": [[-5.436, -2.299, -1.930], [0.954, -5.109, 3.398], [-5.321, 5.007, 9.023]],
  "species": ["Cu", "Cu", "Ag", "Ag", "Sb", "Sb", "Cl", "Cl", "Cl", "Cl", "Cl", "Cl", "Cl", "Cl", "Cl", "Cl", "Cl", "Cl"],
  "fractional_positions": [[0.500, 0.500, 0.832], [0.000, 0.000, 0.332], [0.500, 0.500, 0.499], [0.000, 0.000, 0.999], [0.500, 0.500, 0.168], [0.000, 0.000, 0.668], [0.189, 0.811, 0.492], [0.811, 0.189, 0.492], [0.311, 0.311, 0.992], [0.689, 0.689, 0.992], [0.198, 0.802, 0.181], [0.802, 0.198, 0.181], [0.302, 0.302, 0.681], [0.698, 0.698, 0.681], [0.785, 0.215, 0.828], [0.215, 0.785, 0.828], [0.715, 0.715, 0.328], [0.285, 0.285, 0.328]]
}